Record 1
4
Lattice="2.684 0.000 0.000 1.342 2.324 0.000 1.342 0.775 8.573" Properties=species:S:1:pos:R:3 comment="CuIr2Rh | the Alexandria database | PBEsol | optimized geometry" sg="R-3m (166)" e_tot_ev_per_atom=-7.99 crystal_system=trigonal pbc="T T T"
Cu 0.000 0.000 0.000
Ir 1.342 0.775 2.108
Ir 4.026 2.324 6.465
Rh 2.684 1.550 4.287

***

Record 2
4
Lattice="2.661 0.000 0.000 0.000 4.602 -0.003 0.000 -1.547 4.335" Properties=species:S:1:pos:R:3 comment="CuIrRh2 | the Alexandria database | PBEsol | optimized geometry" sg="Cmmm (65)" e_tot_ev_per_atom=-7.52 crystal_system=orthorhombic pbc="T T T"
Cu 1.331 0.000 0.000
Rh 0.000 2.301 -0.001
Rh 0.000 -0.773 2.167
Ir 1.331 1.528 2.166

***

Record 3
4
Lattice="3.738 0.000 0.000 0.000 3.738 0.000 -1.869 -1.869 3.769" Properties=species:S:1:pos:R:3 comment="CuIrRh2 | the Alexandria database | PBEsol | optimized geometry" sg="I-4m2 (119)" e_tot_ev_per_atom=-7.55 crystal_system=tetragonal pbc="T T T"
Rh 0.000 0.000 0.000
Rh 1.869 0.000 1.885
Cu 1.869 1.869 0.000
Ir 0.000 1.869 1.885

***

Record 4
4
Lattice="-1.638 0.616 2.001 -2.840 0.191 -2.383 -0.973 -5.038 0.757" Properties=species:S:1:pos:R:3 comment="Cu2IrRh | the Alexandria database | PBEsol | optimized geometry" sg="Pmm2 (25)" e_tot_ev_per_atom=-6.56 crystal_system=orthorhombic pbc="T T T"
Cu -2.472 -0.799 -0.010
Cu -1.649 0.556 2.010
Ir -0.494 -2.557 0.385
Rh -2.961 -3.336 0.371

***

Record 5
4
Lattice="2.687 0.000 0.000 -1.344 4.386 0.000 0.000 -0.817 4.535" Properties=species:S:1:pos:R:3 comment="CuIr2Rh | the Alexandria database | PBEsol | optimized geometry" sg="C2/m (12)" e_tot_ev_per_atom=-7.98 crystal_system=monoclinic pbc="T T T"
Ir 1.344 1.596 3.390
Ir 0.000 1.972 1.146
Rh 1.344 0.000 0.000
Cu 0.000 -0.409 2.268

***

Record 6
4
Lattice="2.690 0.000 0.000 -1.345 4.393 0.001 0.000 -0.796 4.524" Properties=species:S:1:pos:R:3 comment="CuIr2Rh | the Alexandria database | PBEsol | optimized geometry" sg="Cm (8)" e_tot_ev_per_atom=-7.97 crystal_system=monoclinic pbc="T T T"
Ir 1.345 1.995 1.096
Ir 0.000 0.017 0.022
Cu 0.000 1.608 3.372
Rh 0.000 3.972 2.297

***

Record 7
4
Lattice="-1.155 -1.777 -1.584 1.230 -2.276 -0.554 -3.623 -4.954 5.990" Properties=species:S:1:pos:R:3 comment="Cu2IrRh | the Alexandria database | PBEsol | optimized geometry" sg="R-3m (166)" e_tot_ev_per_atom=-6.56 crystal_system=trigonal pbc="T T T"
Cu -0.880 -2.245 0.951
Cu -2.668 -6.761 2.901
Ir -1.774 -4.503 1.926
Rh 0.000 0.000 0.000

***

Record 8
4
Lattice="2.679 0.000 0.000 0.000 4.568 0.004 -1.339 -0.765 4.314" Properties=species:S:1:pos:R:3 comment="CuIrRh2 | the Alexandria database | PBEsol | optimized geometry" sg="C2/m (12)" e_tot_ev_per_atom=-7.55 crystal_system=monoclinic pbc="T T T"
Rh 1.339 3.050 2.143
Rh 0.000 0.753 2.174
Ir 0.000 2.284 0.002
Cu 1.339 0.000 0.000

***

Record 9
4
Lattice="2.703 0.000 0.000 0.000 2.703 0.000 0.000 0.000 7.289" Properties=species:S:1:pos:R:3 comment="CuIr2Rh | the Alexandria database | PBEsol | optimized geometry" sg="P4mm (99)" e_tot_ev_per_atom=-7.99 crystal_system=tetragonal pbc="T T T"
Ir 1.352 1.352 1.823
Ir 0.000 0.000 7.259
Rh 0.000 0.000 3.678
Cu 1.352 1.352 5.461

***

Record 10
4
Lattice="-0.512 0.183 2.631 3.599 -0.624 0.743 0.935 5.182 -0.177" Properties=species:S:1:pos:R:3 comment="CuIrRh2 | the Alexandria database | PBEsol | optimized geometry" sg="Pmmm (47)" e_tot_ev_per_atom=-7.57 crystal_system=orthorhombic pbc="T T T"
Ir 2.011 2.371 1.598
Rh 0.192 4.081 2.497
Rh 0.232 1.284 -0.044
Cu 1.544 -0.221 1.687

***

Record 11
4
Lattice="-1.672 0.095 2.067 -2.826 -2.496 -2.172 1.918 -3.670 1.722" Properties=species:S:1:pos:R:3 comment="Cu2IrRh | the Alexandria database | PBEsol | optimized geometry" sg="Pmmm (47)" e_tot_ev_per_atom=-6.47 crystal_system=orthorhombic pbc="T T T"
Rh -0.454 -3.083 -0.225
Cu 0.000 0.000 0.000
Cu 0.123 -1.788 1.894
Ir -2.249 -1.200 -0.053

***

Record 12
4
Lattice="-0.659 0.179 -3.691 1.396 -3.460 -0.417 -3.819 0.182 2.599" Properties=species:S:1:pos:R:3 comment="CuIr2Rh | the Alexandria database | PBEsol | optimized geometry" sg="I4/mmm (139)" e_tot_ev_per_atom=-7.94 crystal_system=tetragonal pbc="T T T"
Ir -2.055 -0.639 -1.573
Ir -1.027 -2.459 0.064
Cu 0.000 0.000 0.000
Rh 0.368 -1.640 -2.054

***

Record 13
4
Lattice="2.640 0.000 0.000 -1.320 4.279 0.005 0.000 -0.818 4.519" Properties=species:S:1:pos:R:3 comment="Cu2IrRh | the Alexandria database | PBEsol | optimized geometry" sg="C2/m (12)" e_tot_ev_per_atom=-6.56 crystal_system=monoclinic pbc="T T T"
Rh 1.320 0.000 0.000
Cu 1.320 1.522 3.391
Cu 0.000 1.940 1.134
Ir 0.000 -0.409 2.260

***

Record 14
4
Lattice="-3.079 -0.413 2.111 2.123 0.013 3.098 0.129 3.951 -2.381" Properties=species:S:1:pos:R:3 comment="CuIr2Rh | the Alexandria database | PBEsol | optimized geometry" sg="I-4m2 (119)" e_tot_ev_per_atom=-7.96 crystal_system=tetragonal pbc="T T T"
Ir 0.000 0.000 0.000
Ir -1.714 1.669 1.168
Rh -0.478 -0.200 2.605
Cu 0.887 1.882 1.661

***

Record 15
4
Lattice="-1.517 -2.125 0.667 -0.600 -0.387 -2.599 5.777 -4.341 -0.686" Properties=species:S:1:pos:R:3 comment="CuIrRh2 | the Alexandria database | PBEsol | optimized geometry" sg="P4/mmm (123)" e_tot_ev_per_atom=-7.59 crystal_system=tetragonal pbc="T T T"
Rh 1.421 -1.068 -0.169
Rh 4.356 -3.273 -0.517
Ir 1.830 -3.426 -1.309
Cu -1.059 -1.256 -0.966

***

Record 16
4
Lattice="-1.486 1.612 1.568 -1.356 -2.992 1.791 3.979 0.280 3.481" Properties=species:S:1:pos:R:3 comment="CuIr2Rh | the Alexandria database | PBEsol | optimized geometry" sg="Pmm2 (25)" e_tot_ev_per_atom=-7.97 crystal_system=orthorhombic pbc="T T T"
Ir 3.977 0.280 3.479
Ir -0.437 -0.621 2.540
Rh 2.012 0.142 1.760
Cu 1.555 -0.481 4.283

***

Record 17
3
Lattice="-1.368 2.164 -0.734 -1.046 -2.423 -0.361 -2.673 0.287 5.827" Properties=species:S:1:pos:R:3 comment="CuIrRh | the Alexandria database | PBEsol | optimized geometry" sg="P3m1 (156)" e_tot_ev_per_atom=-7.38 crystal_system=trigonal pbc="T T T"
Rh -2.144 0.730 1.315
Ir -2.941 -0.702 3.411
Cu -0.003 0.000 0.006

***

Record 18
4
Lattice="2.683 0.000 0.001 -0.001 4.465 -0.002 -1.341 -0.813 4.264" Properties=species:S:1:pos:R:3 comment="Cu2IrRh | the Alexandria database | PBEsol | optimized geometry" sg="Cm (8)" e_tot_ev_per_atom=-6.56 crystal_system=monoclinic pbc="T T T"
Cu 1.341 3.556 4.254
Cu 0.000 3.036 2.128
Ir 0.000 1.328 4.259
Rh 1.343 0.802 2.147

***

Record 19
4
Lattice="-0.502 0.758 -2.516 0.999 -1.406 -2.045 -6.847 -5.096 -1.590" Properties=species:S:1:pos:R:3 comment="CuIrRh2 | the Alexandria database | PBEsol | optimized geometry" sg="R-3m (166)" e_tot_ev_per_atom=-7.58 crystal_system=trigonal pbc="T T T"
Rh -1.620 -1.458 -1.538
Rh -4.731 -4.286 -4.613
Ir 0.000 0.000 0.000
Cu -3.175 -2.872 -3.075

***

Record 20
4
Lattice="4.242 0.000 0.000 2.121 3.674 0.000 2.121 1.225 3.464" Properties=species:S:1:pos:R:3 comment="CuIr2Rh | the Alexandria database | PBEsol | optimized geometry" sg="Fm-3m (225)" e_tot_ev_per_atom=-7.67 crystal_system=cubic pbc="T T T"
Rh 4.242 2.449 1.732
Ir 6.363 3.674 2.598
Ir 2.121 1.225 0.866
Cu 0.000 0.000 0.000